Entry 1:
DFT (PBE-GGA) results for an optimized crystal structure of Na3Th3SnTe8.

abc: 9.150 9.150 9.150
angles: 59.24 59.24 59.24
Positions (direct):
1 Na 0.000 0.500 0.500
2 Na 0.500 0.000 0.500
3 Na 0.500 0.500 0.000
4 Th 0.000 0.000 0.500
5 Th 0.000 0.500 0.000
6 Th 0.500 0.000 0.000
7 Sn 0.500 0.500 0.500
8 Te 0.239 0.749 0.749
9 Te 0.248 0.248 0.248
10 Te 0.251 0.251 0.761
11 Te 0.251 0.761 0.251
12 Te 0.749 0.239 0.749
13 Te 0.749 0.749 0.239
14 Te 0.752 0.752 0.752
15 Te 0.761 0.251 0.251

## Properties
space-group type: R-3m
formation energy without anion corrections: -1004.5 meV per atom
density: 5.94 Mg/m³
density of states at the Fermi level: 0.423 states/eV per atom
crystal system: trigonal

=====

Entry 2:
DFT (PBE-GGA) results for an optimized crystal structure of TbPr3Ag2.

abc: 8.866 8.866 3.728
angles: 90.00 90.00 143.40
Positions (direct):
1 Tb 0.000 0.000 0.000
2 Pr 0.178 0.822 0.500
3 Pr 0.500 0.500 0.500
4 Pr 0.822 0.178 0.500
5 Ag 0.345 0.655 0.000
6 Ag 0.655 0.345 0.000

## Properties
space-group type: Cmmm
E above lowest polymorph: 53.9 meV/atom
density: 7.58 Mg/m³
density of states at the Fermi level: 1.230 states/eV per atom
crystal system: orthorhombic
formation enthalpy at 0 K: -0.095 eV/atom